80
Lattice="-1.4323 12.1985 -6.1333 -12.3575 -4.8239 3.5347 7.7485 1.4132 11.2444" Properties=species:S:1:pos:R:3 comment="Pm3In5S12 | the Alexandria database | PBE | relaxed" magnetic_moment_mub_per_cell=0.00 sg="No. 230" e_form_raw_ev_per_atom=-1.10 pbc="T T T"
In -5.8920 6.6639 1.8258
S -3.6053 3.0409 9.7529
S -5.4359 8.2710 6.1382
S 6.0942 3.0542 10.0227
Pm -1.3016 1.2713 10.5147
S -2.0791 6.8401 4.0966
In -0.7162 6.0992 -3.0667
In 3.1581 6.8059 2.5555
S 0.9159 8.0117 3.2190
S 0.2569 7.7792 -1.2911
Pm 3.5115 1.5554 9.9558
S -3.7414 0.6262 12.1122
Pm -6.3234 1.9128 2.7203
In -6.8949 3.6873 -1.2993
In 0.5002 10.3510 2.5448
S 4.3759 11.9424 4.5026
S -10.4172 -3.1546 4.1432
S -7.9695 -0.5027 2.0313
S 2.4810 11.6122 1.7798
In 3.7296 5.0314 6.5751
S -1.0844 6.1301 8.4939
S -1.2110 9.8986 0.8223
In -2.3045 -1.7053 7.3895
Pm -7.0442 5.8112 5.5206
S -4.4568 4.6530 6.5119
S -10.2693 6.0701 1.3647
S -8.4077 3.5326 4.1178
In -3.1653 8.7187 5.2758
In -6.1788 -2.4120 1.7674
In 3.8743 0.7066 5.6222
Pm 1.0029 2.9766 3.1251
S -1.4235 9.0848 6.9879
S -8.3060 2.4679 0.5564
S 1.4248 5.2897 1.2833
S -2.4360 5.7470 -1.1072
S -4.8303 -1.1108 7.8234
S 4.2279 2.7178 7.2810
S -7.2883 9.1050 -1.8455
S -3.9622 1.9477 4.5491
S -6.2982 1.0086 9.9368
S -0.6313 4.0677 5.3746
In -2.6579 3.5451 -0.0108
Pm -4.9624 1.8398 7.3788
S -2.2999 8.1617 -3.4664
S -3.7507 10.3076 -1.3681
In -6.5415 -1.5632 6.1010
S -8.5223 -2.8244 6.8659
S -4.9570 2.6577 0.1519
S -12.1356 5.7337 -1.3770
In -2.8760 0.0692 3.3699
In -0.1493 2.1239 6.8199
Pm 0.2821 6.8750 5.9255
S 0.8793 2.6437 9.0043
S 1.2779 0.8797 5.2343
S -3.9182 7.8832 0.9792
S -5.4100 4.7201 3.2712
In -9.7709 3.7564 2.0706
S -2.1231 0.9046 7.6666
In 4.1610 9.7825 5.6807
S -6.9206 6.1441 -0.3585
Pm -0.8608 10.4240 -2.1137
S 1.9282 9.2905 6.6144
Pm -1.0789 6.9480 1.2670
S -7.4662 3.4981 7.3625
In -10.2023 -0.9946 2.9651
Pm -9.5528 7.2324 -1.3101
In -3.0207 4.3939 4.3229
S -0.6054 0.5168 2.5076
S -6.9573 0.7761 5.4268
S -1.5845 4.1349 2.1338
Pm -5.1805 -1.6362 10.7595
S 2.3664 5.2552 4.5279
In 0.0000 0.0000 0.0000
Pm -4.7397 7.5166 -1.8689
S 2.2646 6.3200 8.0894
S -7.3192 7.9082 3.4115
S 1.2470 -0.3171 10.4912
S -2.2906 -1.5198 10.0138
In -3.3834 5.2427 8.6565
S -4.6178 -0.2970 1.6578



16
Lattice="8.6635 0.0000 0.0000 0.0000 9.6167 0.6669 -4.3317 -4.3334 6.1271" Properties=species:S:1:pos:R:3 comment="La8Pd3PtI4 | the Alexandria database | PBE | relaxed" dos_ef_per_ev_cell=13.22 magnetic_moment_mub_per_cell=0.00 sg="No. 166" e_form_raw_ev_per_atom=-1.02 pbc="T T T"
I 2.1659 -2.1667 3.0635
Pd 4.3317 4.8083 0.3335
Pd -2.1659 2.6416 3.3970
I 4.3317 0.0000 0.0000
La 2.1460 2.8135 0.4397
La 4.3317 4.6492 3.2864
La 6.5175 2.8135 0.4397
La 0.0000 0.6340 3.5075
I -2.1659 -2.1667 3.0635
Pt 0.0000 4.8083 0.3335
I 0.0000 0.0000 0.0000
La -2.1857 2.4698 6.3543
Pd 2.1659 2.6416 3.3970
La 0.0000 4.6570 3.2616
La 4.3317 0.6263 3.5324
La 2.1857 2.4698 6.3543



4
Lattice="-1.7627 -5.6666 -5.1988 0.7205 -4.9603 -6.0926 0.4637 -6.7553 -4.0491" Properties=species:S:1:pos:R:3 comment="Be2CuAu | the Alexandria database | PBE | relaxed" dos_ef_per_ev_cell=1.33 magnetic_moment_mub_per_cell=0.00 sg="No. 160" formation_energy_ev_per_atom=0.237 pbc="T T T"
Cu -0.2958 -8.8895 -7.8453
Be -0.5739 -17.2462 -15.2204
Au -0.4302 -12.9268 -11.4084
Be -0.1462 -4.3930 -3.8770



12
Lattice="-4.2187 3.0970 1.3801 -0.2324 -3.1591 6.3789 3.1395 5.6279 -3.0324" Properties=species:S:1:pos:R:3 comment="Mo2IrRh3 | the Alexandria database | PBE | relaxed" dos_ef_per_ev_cell=15.02 magnetic_moment_mub_per_cell=0.00 sg="No. 63" formation_energy_ev_per_atom=0.099 pbc="T T T"
Mo -0.2035 0.5278 3.7403
Rh 2.5877 4.3505 -1.6108
Mo -1.2036 5.1081 1.0175
Ir -2.5010 2.9610 1.8685
Rh -0.3380 1.4575 1.2397
Rh -1.8860 -0.2627 5.6788
Ir 1.0944 2.6745 2.8891
Rh 0.4784 5.8990 -0.9207
Mo -2.3932 2.0080 4.3378
Rh -1.0679 4.1775 3.5177
Mo 0.9861 3.6278 0.4200
Rh 0.2232 -1.8112 4.9887



12
Lattice="4.7659 0.0000 0.0000 -2.3829 9.7318 -0.3166 0.0000 -4.7079 8.3532" Properties=species:S:1:pos:R:3 comment="AcTm3Sn2 | the Alexandria database | PBE | relaxed" dos_ef_per_ev_cell=11.90 magnetic_moment_mub_per_cell=0.00 sg="No. 12" formation_energy_ev_per_atom=-0.454 pbc="T T T"
Tm 2.3829 1.4412 3.8340
Tm 0.0000 6.3948 2.2486
Tm 0.0000 3.5827 4.2026
Tm 2.3829 -1.3709 5.7880
Sn 2.3829 4.2758 2.0283
Sn 0.0000 5.4490 6.6637
Sn 2.3829 -0.4251 1.3729
Tm 2.3829 5.8822 4.7515
Ac 2.3829 2.8377 7.4581
Tm 0.0000 -0.8583 3.2851
Sn 0.0000 0.7481 6.0083
Ac 0.0000 2.1862 0.5785



4
Lattice="4.2562 0.0000 0.0000 0.0000 2.6229 -0.0045 0.0000 1.2121 5.1773" Properties=species:S:1:pos:R:3 comment="ZnCrMo2 | the Alexandria database | PBE | relaxed" dos_ef_per_ev_cell=2.50 magnetic_moment_mub_per_cell=0.00 sg="No. 10" formation_energy_ev_per_atom=0.176 pbc="T T T"
Cr 2.1281 2.8762 3.8796
Zn 2.1281 0.9587 1.2932
Mo 0.0000 3.7855 5.1296
Mo 0.0000 1.9669 2.6296



12
Lattice="4.7555 0.0000 0.0000 -2.3777 4.1184 0.0000 0.0000 0.0000 12.7139" Properties=species:S:1:pos:R:3 comment="LaHg2Pd3 | the Alexandria database | PBE | relaxed" dos_ef_per_ev_cell=5.55 magnetic_moment_mub_per_cell=0.00 sg="No. 194" formation_energy_ev_per_atom=-0.505 pbc="T T T"
Pd 0.0000 2.7456 1.7265
Pd 0.0000 2.7456 4.6304
Pd 0.0000 0.0000 6.3569
La 0.0000 0.0000 9.5354
Hg 0.0000 2.7456 11.6247
Pd 0.0000 0.0000 0.0000
Hg 2.3777 1.3728 1.0892
Hg 2.3777 1.3728 5.2677
Pd 2.3777 1.3728 10.9874
Hg 0.0000 2.7456 7.4462
Pd 2.3777 1.3728 8.0835
La 0.0000 0.0000 3.1785



5
Lattice="3.5801 0.0000 0.0000 0.0000 3.5801 0.0000 1.7901 1.7901 8.4101" Properties=species:S:1:pos:R:3 comment="Cu2Sn2Sb | the Alexandria database | PBE | relaxed" dos_ef_per_ev_cell=2.12 magnetic_moment_mub_per_cell=0.00 sg="No. 139" e_form_raw_ev_per_atom=0.18 pbc="T T T"
Cu 3.5801 1.7901 4.2050
Sb 0.0000 0.0000 0.0000
Sn 3.5801 3.5801 6.3397
Cu 1.7901 3.5801 4.2050
Sn 1.7901 1.7901 2.0703



6
Lattice="-0.1561 -4.7317 -3.5624 -4.8414 -1.1208 -3.2263 0.1281 0.7135 -5.8804" Properties=species:S:1:pos:R:3 comment="LaAlCl4 | the Alexandria database | PBE | relaxed" dos_ef_per_ev_cell=5.85 magnetic_moment_mub_per_cell=0.00 sg="No. 216" e_form_raw_ev_per_atom=-0.46 pbc="T T T"
Cl -1.8267 -1.9278 -4.7526
Cl -4.2448 -2.4876 -6.3640
La -3.6520 -3.8543 -9.5018
Cl -1.7627 -1.5715 -7.6897
Cl -1.9046 -4.2912 -6.5319
Al 0.0000 0.0000 0.0000



5
Lattice="6.3132 0.0000 0.0000 0.0000 6.3132 0.0000 0.0000 0.0000 5.7549" Properties=species:S:1:pos:R:3 comment="SnAsPbSe2 | the Alexandria database | PBE | relaxed" dos_ef_per_ev_cell=3.59 magnetic_moment_mub_per_cell=1.95 sg="No. 123" e_form_raw_ev_per_atom=0.73 pbc="T T T"
Sn 0.0000 0.0000 0.0000
Se 3.1566 0.0000 0.0000
Pb 3.1566 3.1566 2.8775
Se 0.0000 3.1566 0.0000
As 0.0000 0.0000 2.8775



9
Lattice="4.3219 0.0000 0.0000 -2.1609 5.3048 -1.4925 0.0000 -0.1572 8.6269" Properties=species:S:1:pos:R:3 comment="La3Cu4Ge2 | the Alexandria database | PBE | relaxed" dos_ef_per_ev_cell=3.20 magnetic_moment_mub_per_cell=0.00 sg="No. 12" formation_energy_ev_per_atom=-0.492 pbc="T T T"
La 0.0000 3.4994 1.8856
La 2.1609 1.6482 5.2488
Cu 0.0000 0.5386 3.2068
Cu 0.0000 2.8374 7.3130
La 0.0000 0.0000 0.0000
Ge 2.1609 1.1183 2.0741
Ge 0.0000 4.0292 5.0603
Cu 2.1609 2.3101 -0.1786
Cu 2.1609 4.6089 3.9276



4
Lattice="-2.8580 -1.2875 4.2300 -4.0569 -3.3217 -0.4756 0.3209 -4.8529 2.0161" Properties=species:S:1:pos:R:3 comment="AcEuCu2 | the Alexandria database | PBE | relaxed" dos_ef_per_ev_cell=8.38 magnetic_moment_mub_per_cell=7.07 sg="No. 225" formation_energy_ev_per_atom=-0.089 pbc="T T T"
Eu 0.0000 0.0000 0.0000
Cu -1.6485 -2.3655 1.4426
Cu -4.9455 -7.0965 4.3279
Ac -3.2970 -4.7310 2.8853